Entry 1:
Here is crystalline RbBPd3 at its relaxed geometry from Alexandria. Energies are from PBE.

Summary:
* energy relative to the lowest polymorph listed for this composition: 0 meV/atom

```
RbBPd3
1.0
4.4126 0.0000 0.0000
0.0000 4.4126 0.0000
0.0000 0.0000 4.4126
Rb B Pd
1 1 3
Direct
0.0000 0.0000 0.0000 Rb
0.5000 0.5000 0.5000 B
0.0000 0.5000 0.5000 Pd
0.5000 0.0000 0.5000 Pd
0.5000 0.5000 0.0000 Pd
```

---

Entry 2:
Here is crystalline PtRhSN2 at its relaxed geometry from Alexandria. Energies are from PBE.

Summary:
* energy relative to the lowest polymorph listed for this composition: 0 meV/atom
* formation energy (no corrections): 1.248 eV per atom

```
PtRhSN2
1.0
3.6918 0.0000 0.0000
0.0000 3.6918 0.0000
0.0000 0.0000 5.5700
Pt Rh S N
1 1 1 2
Direct
0.0000 0.0000 0.0000 Pt
0.5000 0.5000 0.5000 Rh
0.5000 0.5000 0.0000 S
0.0000 0.5000 0.5000 N
0.5000 0.0000 0.5000 N
```

---

Please write out number 1 again, unchanged.
Here is crystalline RbBPd3 at its relaxed geometry from Alexandria. Energies are from PBE.

Summary:
* energy relative to the lowest polymorph listed for this composition: 0 meV/atom

```
RbBPd3
1.0
4.4126 0.0000 0.0000
0.0000 4.4126 0.0000
0.0000 0.0000 4.4126
Rb B Pd
1 1 3
Direct
0.0000 0.0000 0.0000 Rb
0.5000 0.5000 0.5000 B
0.0000 0.5000 0.5000 Pd
0.5000 0.0000 0.5000 Pd
0.5000 0.5000 0.0000 Pd
```